i | InSnTe | GGA-PBE | relaxed

abc: 4.217 4.228 6.520
angles: 89.67 71.15 60.27
Space group P1 (No. 1)
Symmetry-distinct sites (fractional):
In: 0.000 0.000 0.000 [1 per cell]
Sn: 0.897 0.550 0.654 [1 per cell]
Te: 0.445 0.779 0.329 [1 per cell]

Values from the calculation:
volume = 31.275 Å³ per atom
DOS(E_F) = 0.458 states/eV per atom

ii | InSnTe | GGA-PBE | relaxed

abc: 4.237 6.627 6.837
angles: 90.00 107.48 90.00
Space group P2_1/m (No. 11)
Symmetry-distinct sites (fractional):
In: 0.000 0.000 0.000 [2 per cell]
Sn: 0.337 0.250 0.681 [2 per cell]
Te: 0.326 0.750 0.659 [2 per cell]

Values from the calculation:
volume = 30.521 Å³ per atom
DOS(E_F) = 0.448 states/eV per atom

Short version: ii is the most stable of them.